P) Computed, not measured: a relaxed Sb2Pt2Se crystal at the GGA-PBE level of DFT.

a = 7.4563 Å, b = 7.4563 Å, c = 3.7423 Å
α = 90.00°, β = 90.00°, γ = 90.00°
Element x y z (fractional)
Sb  0.1600  0.6600  0.5000
Sb  0.6600  0.8400  0.5000
Sb  0.8400  0.3400  0.5000
Sb  0.3400  0.1600  0.5000
Se  0.0000  0.0000  0.0000
Se  0.5000  0.5000  0.0000
Pt  0.3648  0.8648  0.0000
Pt  0.8648  0.6352  0.0000
Pt  0.6352  0.1352  0.0000
Pt  0.1352  0.3648  0.0000

Results
**Total magnetic moment**: 0.0 μB/f.u.
**DOS at the Fermi energy**: 0.488 states/eV/atom



Q) Computed, not measured: a relaxed Sb2Pt2Se crystal at the GGA-PBE level of DFT.

a = 3.8961 Å, b = 3.8961 Å, c = 7.9370 Å
α = 75.79°, β = 75.79°, γ = 90.00°
Element x y z (fractional)
Sb  0.3800  0.3800  0.2401
Sb  0.6200  0.6200  0.7599
Se  0.0000  0.0000  0.0000
Pt  0.7500  0.2500  0.5000
Pt  0.2500  0.7500  0.5000

Results
**Total magnetic moment**: 0.0 μB/f.u.
**DOS at the Fermi energy**: 0.562 states/eV/atom



R) Computed, not measured: a relaxed Sb2Pt2Se crystal at the GGA-PBE level of DFT.

a = 8.1692 Å, b = 8.1692 Å, c = 3.1665 Å
α = 90.00°, β = 90.00°, γ = 90.00°
Element x y z (fractional)
Sb  0.3181  0.8181  0.0000
Sb  0.8181  0.6819  0.0000
Sb  0.6819  0.1819  0.0000
Sb  0.1819  0.3181  0.0000
Se  0.0000  0.0000  0.0000
Se  0.5000  0.5000  0.0000
Pt  0.1177  0.6177  0.5000
Pt  0.6177  0.8823  0.5000
Pt  0.8823  0.3823  0.5000
Pt  0.3823  0.1177  0.5000

Results
**Total magnetic moment**: 0.0 μB/f.u.
**DOS at the Fermi energy**: 0.461 states/eV/atom



The structure with the greatest stability is Q).



P) Computed, not measured: a relaxed Sb2PtSe2 crystal at the GGA-PBE level of DFT.

a = 5.7129 Å, b = 5.7129 Å, c = 5.6406 Å
α = 59.58°, β = 59.58°, γ = 90.00°
Element x y z (fractional)
Sb  0.7500  0.2500  0.5000
Sb  0.2500  0.7500  0.5000
Se  0.3059  0.3059  0.3881
Se  0.6941  0.6941  0.6119
Pt  0.0000  0.0000  0.0000

Results
**Total magnetic moment**: 0.0 μB/f.u.
**DOS at the Fermi energy**: 0.292 states/eV/atom



Q) Computed, not measured: a relaxed Sb2PtSe2 crystal at the GGA-PBE level of DFT.

a = 6.6535 Å, b = 6.6535 Å, c = 5.7136 Å
α = 90.00°, β = 90.00°, γ = 90.00°
Element x y z (fractional)
Sb  0.2778  0.7778  0.5000
Sb  0.7778  0.7222  0.5000
Sb  0.7222  0.2222  0.5000
Sb  0.2222  0.2778  0.5000
Se  0.3343  0.8343  0.0000
Se  0.8343  0.6657  0.0000
Se  0.6657  0.1657  0.0000
Se  0.1657  0.3343  0.0000
Pt  0.0000  0.0000  0.0000
Pt  0.5000  0.5000  0.0000

Results
**Total magnetic moment**: 0.0 μB/f.u.
**DOS at the Fermi energy**: 0.509 states/eV/atom



The structure with the greatest stability is Q).



P) Computed, not measured: a relaxed Si2SbPt2 crystal at the GGA-PBE level of DFT.

a = 3.9097 Å, b = 3.9097 Å, c = 6.4493 Å
α = 72.36°, β = 72.36°, γ = 90.00°
Element x y z (fractional)
Sb  0.0000  0.0000  0.0000
Si  0.7500  0.2500  0.5000
Si  0.2500  0.7500  0.5000
Pt  0.3730  0.3730  0.2540
Pt  0.6270  0.6270  0.7460

Results
**Total magnetic moment**: 0.0 μB/f.u.
**DOS at the Fermi energy**: 0.421 states/eV/atom



Q) Computed, not measured: a relaxed Si2SbPt2 crystal at the GGA-PBE level of DFT.

a = 7.5656 Å, b = 7.5656 Å, c = 3.0033 Å
α = 90.00°, β = 90.00°, γ = 90.00°
Element x y z (fractional)
Sb  0.0000  0.0000  0.0000
Sb  0.5000  0.5000  0.0000
Si  0.1448  0.6448  0.5000
Si  0.6448  0.8552  0.5000
Si  0.8552  0.3552  0.5000
Si  0.3552  0.1448  0.5000
Pt  0.3641  0.8641  0.0000
Pt  0.8641  0.6359  0.0000
Pt  0.6359  0.1359  0.0000
Pt  0.1359  0.3641  0.0000

Results
**Total magnetic moment**: 0.0 μB/f.u.
**DOS at the Fermi energy**: 0.354 states/eV/atom



The structure with the greatest stability is P).



P) Computed, not measured: a relaxed Sn4Sb2Pt crystal at the GGA-PBE level of DFT.

a = 4.2230 Å, b = 7.1078 Å, c = 8.0084 Å
α = 108.52°, β = 85.84°, γ = 115.76°
Element x y z (fractional)
Sn  0.8740  0.7460  0.6649
Sn  0.1260  0.2540  0.3351
Sn  0.6996  0.2551  0.9544
Sn  0.3004  0.7449  0.0456
Sb  0.5994  0.2626  0.5874
Sb  0.4006  0.7374  0.4126
Pt  0.0000  0.0000  0.0000

Results
**Total magnetic moment**: 0.0 μB/f.u.
**DOS at the Fermi energy**: 0.454 states/eV/atom



Q) Computed, not measured: a relaxed Sn4Sb2Pt crystal at the GGA-PBE level of DFT.

a = 5.1296 Å, b = 5.1296 Å, c = 8.8615 Å
α = 73.18°, β = 73.18°, γ = 90.00°
Element x y z (fractional)
Sb  0.3607  0.3607  0.2786
Sb  0.6393  0.6393  0.7214
Sn  0.1729  0.1729  0.6541
Sn  0.8271  0.8271  0.3459
Sn  0.0000  0.5000  0.0000
Sn  0.5000  0.0000  0.0000
Pt  0.0000  0.0000  0.0000

Results
**Total magnetic moment**: 0.0 μB/f.u.
**DOS at the Fermi energy**: 0.297 states/eV/atom



The structure with the greatest stability is P).



P) Computed, not measured: a relaxed SnSb2Pt2 crystal at the GGA-PBE level of DFT.

a = 7.7928 Å, b = 7.7928 Å, c = 3.5460 Å
α = 90.00°, β = 90.00°, γ = 90.00°
Element x y z (fractional)
Sb  0.1598  0.6598  0.5000
Sb  0.6598  0.8402  0.5000
Sb  0.8402  0.3402  0.5000
Sb  0.3402  0.1598  0.5000
Sn  0.0000  0.0000  0.0000
Sn  0.5000  0.5000  0.0000
Pt  0.3685  0.8685  0.0000
Pt  0.8685  0.6315  0.0000
Pt  0.6315  0.1315  0.0000
Pt  0.1315  0.3685  0.0000

Results
**Total magnetic moment**: 0.0 μB/f.u.
**DOS at the Fermi energy**: 0.500 states/eV/atom



Q) Computed, not measured: a relaxed SnSb2Pt2 crystal at the GGA-PBE level of DFT.

a = 3.9385 Å, b = 3.9385 Å, c = 8.1157 Å
α = 75.96°, β = 75.96°, γ = 90.00°
Element x y z (fractional)
Sb  0.3745  0.3745  0.2509
Sb  0.6255  0.6255  0.7491
Sn  0.0000  0.0000  0.0000
Pt  0.7500  0.2500  0.5000
Pt  0.2500  0.7500  0.5000

Results
**Total magnetic moment**: 0.0 μB/f.u.
**DOS at the Fermi energy**: 0.586 states/eV/atom



The structure with the greatest stability is P).



P) Computed, not measured: a relaxed Sr2SbPt2 crystal at the GGA-PBE level of DFT.

a = 4.6561 Å, b = 5.9716 Å, c = 5.9717 Å
α = 58.57°, β = 67.06°, γ = 67.06°
Element x y z (fractional)
Sr  0.3017  0.1983  0.6983
Sr  0.6983  0.8017  0.3017
Sb  0.5000  0.5000  0.0000
Pt  0.0000  0.2341  0.2659
Pt  0.0000  0.7659  0.7341

Results
**Total magnetic moment**: 0.0 μB/f.u.
**DOS at the Fermi energy**: 0.197 states/eV/atom



Q) Computed, not measured: a relaxed Sr2SbPt2 crystal at the GGA-PBE level of DFT.

a = 6.0321 Å, b = 6.0321 Å, c = 5.7947 Å
α = 58.64°, β = 58.64°, γ = 90.00°
Element x y z (fractional)
Sb  0.0000  0.0000  0.0000
Pt  0.3375  0.3375  0.3250
Pt  0.6625  0.6625  0.6750
Sr  0.7500  0.2500  0.5000
Sr  0.2500  0.7500  0.5000

Results
**Total magnetic moment**: 0.0 μB/f.u.
**DOS at the Fermi energy**: 1.031 states/eV/atom



The structure with the greatest stability is P).



P) Computed, not measured: a relaxed SrSbPt3 crystal at the GGA-PBE level of DFT.

a = 5.0410 Å, b = 5.0410 Å, c = 5.0410 Å
α = 90.00°, β = 90.00°, γ = 90.00°
Element x y z (fractional)
Sb  0.0000  0.0000  0.0000
Pt  0.0000  0.5000  0.0000
Pt  0.0000  0.0000  0.5000
Pt  0.5000  0.0000  0.0000
Sr  0.5000  0.5000  0.5000

Results
**Total magnetic moment**: 0.0 μB/f.u.
**DOS at the Fermi energy**: 0.849 states/eV/atom



Q) Computed, not measured: a relaxed SrSbPt3 crystal at the GGA-PBE level of DFT.

a = 5.1923 Å, b = 5.1923 Å, c = 5.1923 Å
α = 90.00°, β = 90.00°, γ = 90.00°
Element x y z (fractional)
Sb  0.5000  0.5000  0.5000
Pt  0.0000  0.5000  0.0000
Pt  0.0000  0.0000  0.5000
Pt  0.5000  0.0000  0.0000
Sr  0.0000  0.0000  0.0000

Results
**Total magnetic moment**: 0.0 μB/f.u.
**DOS at the Fermi energy**: 0.745 states/eV/atom



The structure with the greatest stability is P).



P) Computed, not measured: a relaxed Sr2Sb3Pt2 crystal at the GGA-PBE level of DFT.

a = 4.5152 Å, b = 6.0878 Å, c = 7.6016 Å
α = 107.85°, β = 90.00°, γ = 111.77°
Element x y z (fractional)
Sr  0.8496  0.6993  0.2004
Sr  0.1504  0.3007  0.7996
Sb  0.5000  0.0000  0.0000
Sb  0.6239  0.2479  0.4512
Sb  0.3761  0.7521  0.5488
Pt  0.8534  0.7068  0.7305
Pt  0.1466  0.2932  0.2695

Results
**Total magnetic moment**: 0.0 μB/f.u.
**DOS at the Fermi energy**: 0.534 states/eV/atom



Q) Computed, not measured: a relaxed Sr2Sb3Pt2 crystal at the GGA-PBE level of DFT.

a = 4.7466 Å, b = 7.2517 Å, c = 11.0894 Å
α = 90.00°, β = 102.36°, γ = 90.00°
Element x y z (fractional)
Sr  0.1613  0.2500  0.3225
Sr  0.8387  0.7500  0.6775
Sr  0.9727  0.2500  0.9455
Sr  0.0273  0.7500  0.0545
Sb  0.2213  0.7500  0.4427
Sb  0.7787  0.2500  0.5573
Sb  0.5809  0.4663  0.1618
Sb  0.4191  0.5337  0.8382
Sb  0.4191  0.9663  0.8382
Sb  0.5809  0.0337  0.1618
Pt  0.7035  0.9532  0.4070
Pt  0.2965  0.0468  0.5930
Pt  0.2965  0.4532  0.5930
Pt  0.7035  0.5468  0.4070

Results
**Total magnetic moment**: 0.0 μB/f.u.
**DOS at the Fermi energy**: 0.357 states/eV/atom



The structure with the greatest stability is Q).